# SrSnPS2

Crystalline SrSnPS2 at its relaxed geometry (PBE, Alexandria).

The relative energy among the computed polymorphs comes out at 0.0 meV/atom.

The structure belongs to space group P4/mmm (No. 123); the cell edges are 5.121, 5.121 and 4.986 Å and the angles 90.00°, 90.00° and 90.00°. Symmetry generates all atoms from Sr at (0.000, 0.000, 0.000), Sn at (0.500, 0.500, 0.500), P at (0.500, 0.500, 0.000) and S at (0.000, 0.500, 0.500).



# Na12Hg2Pd

Crystalline Na12Hg2Pd at its relaxed geometry (PBE, Alexandria).

As for the total DFT energy (no corrections): -1.412 eV per atom.

The structure belongs to space group P4/nbm (No. 125, origin choice 2); the cell edges are 6.637, 6.637 and 23.786 Å and the angles 90.00°, 90.00° and 90.00°. Symmetry generates all atoms from Na at (0.000, 0.000, 0.072), Na at (0.069, 0.569, 0.432), Na at (0.250, 0.250, 0.195), Na at (0.250, 0.250, 0.327), Hg at (0.250, 0.750, 0.310) and Pd at (0.250, 0.750, 0.000).



# MnGePtRh

Crystalline MnGePtRh at its relaxed geometry (PBE, Alexandria).

As for the total DFT energy (no corrections): -7.115 eV per atom.

The structure belongs to space group F-43m (No. 216); the cell edges are 6.170, 6.170 and 6.170 Å and the angles 90.00°, 90.00° and 90.00°. Symmetry generates all atoms from Mn at (0.000, 0.000, 0.000), Ge at (0.000, 0.000, 0.500), Pt at (0.250, 0.250, 0.250) and Rh at (0.250, 0.250, 0.750).



# CrTcNi5

Crystalline CrTcNi5 at its relaxed geometry (PBE, Alexandria).

As for the total DFT energy (no corrections): -6.850 eV per atom.

The structure belongs to space group C2/c (No. 15); the cell edges are 5.680, 6.852 and 8.820 Å and the angles 90.00°, 106.38° and 90.00°. Symmetry generates all atoms from Cr at (0.250, 0.250, 0.000), Tc at (0.000, 0.211, 0.250), Ni at (0.000, 0.150, 0.750), Ni at (0.104, 0.469, 0.647) and Ni at (0.178, 0.102, 0.544).



# HfInHg2

Crystalline HfInHg2 at its relaxed geometry (PBE, Alexandria).

As for the total DFT energy (no corrections): -3.268 eV per atom.

The structure belongs to space group P4/mmm (No. 123); the cell edges are 3.249, 3.249 and 8.671 Å and the angles 90.00°, 90.00° and 90.00°. Symmetry generates all atoms from Hf at (0.000, 0.000, 0.000), In at (0.000, 0.000, 0.500) and Hg at (0.500, 0.500, 0.233).



# CsZnBi

Crystalline CsZnBi at its relaxed geometry (PBE, Alexandria).

As for the total DFT energy (no corrections): -2.220 eV per atom.

The structure belongs to space group C2/m (No. 12); the cell edges are 16.707, 5.482 and 6.436 Å and the angles 90.00°, 112.62° and 90.00°. Symmetry generates all atoms from Cs at (0.107, 0.000, 0.355), Zn at (0.250, 0.250, 0.000) and Bi at (0.103, 0.500, 0.851).



# ZrAuSe2

Crystalline ZrAuSe2 at its relaxed geometry (PBE, Alexandria).

The relative energy among the computed polymorphs comes out at 399.0 meV/atom.

The structure belongs to space group Fm-3m (No. 225); the cell edges are 6.832, 6.832 and 6.832 Å and the angles 90.00°, 90.00° and 90.00°. Symmetry generates all atoms from Zr at (0.000, 0.000, 0.000), Au at (0.000, 0.000, 0.500) and Se at (0.250, 0.250, 0.250).



# CrCdIn

Crystalline CrCdIn at its relaxed geometry (PBE, Alexandria).

The relative energy among the computed polymorphs comes out at 20.0 meV/atom.

The structure belongs to space group Imm2 (No. 44); the cell edges are 3.246, 4.284 and 8.951 Å and the angles 90.00°, 90.00° and 90.00°. Symmetry generates all atoms from Cr at (0.000, 0.000, 0.000), Cd at (0.000, 0.000, 0.664) and In at (0.000, 0.000, 0.335).